Computed, not measured: an optimized crystal structure of LiFe7O6F10 at the PBE with a Hubbard U level of DFT.

Calculated values
Total energy, eV/cell: -132.0

Cell lengths 11.187, 4.535, 5.082 Å; angles 89.89, 90.00, 90.00 degrees
Site moments in Bohr magnetons follow the coordinates.
Atoms (fractional coordinates):
Li  0.672  0.500  0.000  0.00
Fe  0.835  0.500  0.500  4.37
Fe  0.565  0.000  0.500  1.11
Fe  0.327  0.500  0.500  4.33
Fe  0.074  0.000  0.500  -1.00
Fe  0.922  0.000  0.000  -0.97
Fe  0.435  0.000  0.000  -4.34
Fe  0.172  0.500  0.000  4.34
O  0.941  0.783  0.322  0.14
O  0.444  0.774  0.329  -0.07
O  0.189  0.734  0.324  0.29
O  0.941  0.217  0.678  0.14
O  0.444  0.226  0.671  -0.07
O  0.189  0.266  0.676  0.29
F  0.691  0.743  0.350  0.04
F  0.691  0.257  0.650  0.04
F  0.809  0.725  0.834  0.07
F  0.562  0.765  0.826  -0.05
F  0.311  0.735  0.840  0.04
F  0.053  0.759  0.834  0.06
F  0.809  0.275  0.166  0.07
F  0.562  0.235  0.174  -0.05
F  0.311  0.265  0.160  0.04
F  0.053  0.241  0.166  0.06